No. 1
First-principles (PBE-GGA) data for a geometry-optimized Pm2CdPPt6 structure, as listed in the Alexandria database.

a b c (Å): 5.5952 8.7320 8.4758
angles (deg): 90.00 90.00 90.00
Space group Pmmn (No. 59, origin choice 2)
Symmetry-distinct sites (fractional):
Pm 0.2500 0.0087 0.2386 (multiplicity 4)
Cd 0.2500 0.7500 0.8010 (multiplicity 2)
P 0.2500 0.2500 0.7175 (multiplicity 2)
Pt 0.0009 0.7500 0.0676 (multiplicity 4)
Pt 0.0029 0.7500 0.5164 (multiplicity 4)
Pt 0.2500 0.0039 0.6045 (multiplicity 4)

Energy relative to the elements: -0.795 eV/atom
Total energy: -6.0021 eV/atom


No. 2
First-principles (PBE-GGA) data for a geometry-optimized K3CdTc structure, as listed in the Alexandria database.

a b c (Å): 6.3841 6.3841 6.3841
angles (deg): 90.00 90.00 90.00
Space group Pm-3m (No. 221)
Symmetry-distinct sites (fractional):
K 0.0000 0.0000 0.5000 (multiplicity 3)
Cd 0.5000 0.5000 0.5000 (multiplicity 1)
Tc 0.0000 0.0000 0.0000 (multiplicity 1)

Energy relative to the elements: 1.105 eV/atom
Total energy: -1.8100 eV/atom


No. 3
First-principles (PBE-GGA) data for a geometry-optimized BaBe2Co structure, as listed in the Alexandria database.

a b c (Å): 3.8729 3.8839 5.8894
angles (deg): 72.81 72.83 60.74
Space group P1 (No. 1)
Symmetry-distinct sites (fractional):
Ba 0.0000 0.0000 0.0000 (multiplicity 1)
Be 0.3322 0.3298 0.4861 (multiplicity 1)
Be 0.6540 0.6497 0.5121 (multiplicity 1)
Co 0.9916 0.9883 0.5037 (multiplicity 1)

Energy relative to the elements: 0.128 eV/atom
Total energy: -3.9919 eV/atom


No. 4
First-principles (PBE-GGA) data for a geometry-optimized FeWAu structure, as listed in the Alexandria database.

a b c (Å): 5.8691 5.8691 5.8691
angles (deg): 90.00 90.00 90.00
Space group F-43m (No. 216)
Symmetry-distinct sites (fractional):
Fe 0.0000 0.0000 0.0000 (multiplicity 4)
W 0.2500 0.2500 0.2500 (multiplicity 4)
Au 0.2500 0.2500 0.7500 (multiplicity 4)

Energy relative to the elements: 0.692 eV/atom
Total energy: -7.5396 eV/atom